(1)
Compound: BaCoCuCl6
Source: Alexandria
Functional: GGA-PBE
Structure: relaxed

Properties
Space-group type ... No. 5
Theoretical density ... 3.38 g/cm3
Raw total energy ... -3.800 eV/atom
Formation energy without anion corrections ... -1.111 eV/atom

a = 6.406 Å, b = 6.406 Å, c = 6.530 Å
α = 90.02°, β = 90.02°, γ = 119.95°
Atoms (fractional coordinates):
Ba  0.000  0.000  0.000
Co  0.667  0.333  0.500
Cu  0.333  0.667  0.500
Cl  0.390  0.025  0.702
Cl  0.390  0.366  0.298
Cl  0.634  0.025  0.298
Cl  0.634  0.610  0.702
Cl  0.975  0.366  0.702
Cl  0.975  0.610  0.298

---

(2)
Compound: SbTe2P2
Source: Alexandria
Functional: GGA-PBE
Structure: relaxed

Properties
Space-group type ... No. 139
Theoretical density ... 5.48 g/cm3
Raw total energy ... -3.711 eV/atom
Formation energy without anion corrections ... 0.534 eV/atom

a = 6.018 Å, b = 6.018 Å, c = 6.018 Å
α = 127.49°, β = 127.49°, γ = 77.46°
Atoms (fractional coordinates):
Sb  0.000  0.000  0.000
Te  0.323  0.323  0.000
Te  0.677  0.677  0.000
P  0.250  0.750  0.500
P  0.750  0.250  0.500

---

(3)
Compound: In4Au9
Source: Alexandria
Functional: GGA-PBE
Structure: relaxed

Properties
Formation energy ... -0.13 eV/atom
Space-group type ... No. 215
Theoretical density ... 14.59 g/cm3
Raw total energy ... -3.237 eV/atom

a = 10.053 Å, b = 10.053 Å, c = 10.053 Å
α = 90.00°, β = 90.00°, γ = 90.00°
Atoms (fractional coordinates):
In  0.036  0.309  0.309
In  0.036  0.691  0.691
In  0.309  0.036  0.309
In  0.309  0.309  0.036
In  0.309  0.691  0.964
In  0.309  0.964  0.691
In  0.371  0.371  0.629
In  0.371  0.629  0.371
In  0.629  0.371  0.371
In  0.629  0.629  0.629
In  0.691  0.036  0.691
In  0.691  0.309  0.964
In  0.691  0.691  0.036
In  0.691  0.964  0.309
In  0.964  0.309  0.691
In  0.964  0.691  0.309
Au  0.000  0.000  0.358
Au  0.000  0.000  0.642
Au  0.000  0.358  0.000
Au  0.000  0.642  0.000
Au  0.109  0.109  0.109
Au  0.109  0.891  0.891
Au  0.139  0.500  0.500
Au  0.178  0.178  0.822
Au  0.178  0.822  0.178
Au  0.183  0.183  0.527
Au  0.183  0.473  0.817
Au  0.183  0.527  0.183
Au  0.183  0.817  0.473
Au  0.338  0.338  0.338
Au  0.338  0.662  0.662
Au  0.358  0.000  0.000
Au  0.473  0.183  0.817
Au  0.473  0.817  0.183
Au  0.500  0.139  0.500
Au  0.500  0.500  0.139
Au  0.500  0.500  0.861
Au  0.500  0.861  0.500
Au  0.527  0.183  0.183
Au  0.527  0.817  0.817
Au  0.642  0.000  0.000
Au  0.662  0.338  0.662
Au  0.662  0.662  0.338
Au  0.817  0.183  0.473
Au  0.817  0.473  0.183
Au  0.817  0.527  0.817
Au  0.817  0.817  0.527
Au  0.822  0.178  0.178
Au  0.822  0.822  0.822
Au  0.861  0.500  0.500
Au  0.891  0.109  0.891
Au  0.891  0.891  0.109

---

(4)
Compound: PaHgAuO6
Source: Alexandria
Functional: GGA-PBE
Structure: relaxed

Properties
Space-group type ... No. 163
Theoretical density ... 9.01 g/cm3
Raw total energy ... -6.027 eV/atom
Formation energy without anion corrections ... -1.268 eV/atom

a = 5.597 Å, b = 5.597 Å, c = 9.843 Å
α = 90.00°, β = 90.00°, γ = 120.00°
Atoms (fractional coordinates):
Pa  0.333  0.667  0.250
Pa  0.667  0.333  0.750
Hg  0.000  0.000  0.000
Hg  0.000  0.000  0.500
Au  0.333  0.667  0.750
Au  0.667  0.333  0.250
O  0.018  0.365  0.636
O  0.018  0.653  0.864
O  0.347  0.365  0.864
O  0.347  0.982  0.636
O  0.365  0.018  0.136
O  0.365  0.347  0.364
O  0.635  0.653  0.636
O  0.635  0.982  0.864
O  0.653  0.018  0.364
O  0.653  0.635  0.136
O  0.982  0.347  0.136
O  0.982  0.635  0.364

---

(5)
Compound: TbPrAgRh
Source: Alexandria
Functional: GGA-PBE
Structure: relaxed

Properties
Formation energy ... -0.47 eV/atom
Space-group type ... No. 216
Theoretical density ... 9.03 g/cm3
Raw total energy ... -5.376 eV/atom

a = 5.101 Å, b = 5.101 Å, c = 5.101 Å
α = 60.00°, β = 60.00°, γ = 60.00°
Atoms (fractional coordinates):
Tb  0.000  0.000  0.000
Pr  0.500  0.500  0.500
Ag  0.250  0.250  0.250
Rh  0.750  0.750  0.750

---

(6)
Compound: BaNaSeO4
Source: Alexandria
Functional: GGA-PBE
Structure: relaxed

Properties
Space-group type ... No. 74
Theoretical density ... 4.03 g/cm3
Raw total energy ... -5.176 eV/atom
Formation energy without anion corrections ... -1.382 eV/atom

a = 6.978 Å, b = 6.978 Å, c = 6.978 Å
α = 121.33°, β = 110.80°, γ = 97.18°
Atoms (fractional coordinates):
Ba  0.000  0.000  0.000
Ba  0.500  0.000  0.500
Na  0.500  0.000  0.000
Na  0.500  0.500  0.500
Se  0.152  0.402  0.750
Se  0.848  0.598  0.250
O  0.135  0.707  0.428
O  0.221  0.293  0.928
O  0.259  0.272  0.512
O  0.259  0.747  0.988
O  0.741  0.253  0.012
O  0.741  0.728  0.488
O  0.779  0.707  0.072
O  0.865  0.293  0.572

---

(7)
Compound: Er12ZnNi5
Source: Alexandria
Functional: GGA-PBE
Structure: relaxed

Properties
Formation energy ... -0.32 eV/atom
Space-group type ... No. 71
Theoretical density ... 9.35 g/cm3
Raw total energy ... -5.037 eV/atom

a = 8.176 Å, b = 8.176 Å, c = 8.176 Å
α = 111.24°, β = 110.12°, γ = 107.08°
Atoms (fractional coordinates):
Er  0.039  0.227  0.812
Er  0.180  0.283  0.463
Er  0.180  0.717  0.897
Er  0.325  0.020  0.695
Er  0.325  0.630  0.305
Er  0.415  0.227  0.188
Er  0.585  0.773  0.812
Er  0.675  0.370  0.695
Er  0.675  0.980  0.305
Er  0.820  0.283  0.103
Er  0.820  0.717  0.537
Er  0.961  0.773  0.188
Zn  0.500  0.500  0.000
Ni  0.000  0.000  0.000
Ni  0.122  0.622  0.500
Ni  0.354  0.000  0.354
Ni  0.646  0.000  0.646
Ni  0.878  0.378  0.500

---

(8)
Compound: BeSiOs2
Source: Alexandria
Functional: GGA-PBE
Structure: relaxed

Properties
Space-group type ... No. 10
Theoretical density ... 13.39 g/cm3
Raw total energy ... -7.870 eV/atom
Formation energy without anion corrections ... 0.033 eV/atom

a = 2.769 Å, b = 3.817 Å, c = 4.900 Å
α = 90.00°, β = 91.77°, γ = 90.00°
Atoms (fractional coordinates):
Be  0.000  0.000  0.000
Si  0.500  0.000  0.500
Os  0.255  0.500  0.764
Os  0.745  0.500  0.236

---

(9)
Compound: Dy4GeIr3
Source: Alexandria
Functional: GGA-PBE
Structure: relaxed

Properties
Formation energy ... -0.82 eV/atom
Space-group type ... No. 25
Theoretical density ... 12.28 g/cm3
Raw total energy ... -7.022 eV/atom

a = 3.915 Å, b = 4.245 Å, c = 10.575 Å
α = 90.00°, β = 90.00°, γ = 90.00°
Atoms (fractional coordinates):
Dy  0.000  0.000  0.000
Dy  0.000  0.500  0.279
Dy  0.500  0.000  0.487
Dy  0.500  0.500  0.780
Ge  0.000  0.000  0.709
Ir  0.000  0.500  0.565
Ir  0.500  0.000  0.215
Ir  0.500  0.500  0.051

---

(10)
Compound: KSrHg10
Source: Alexandria
Functional: GGA-PBE
Structure: relaxed

Properties
Formation energy ... -0.17 eV/atom
Space-group type ... No. 47
Theoretical density ... 9.92 g/cm3
Raw total energy ... -0.652 eV/atom

a = 5.481 Å, b = 6.096 Å, c = 10.687 Å
α = 90.00°, β = 90.00°, γ = 90.00°
Atoms (fractional coordinates):
K  0.000  0.000  0.000
Sr  0.000  0.500  0.500
Hg  0.000  0.000  0.338
Hg  0.000  0.000  0.662
Hg  0.000  0.500  0.173
Hg  0.000  0.500  0.827
Hg  0.500  0.000  0.500
Hg  0.500  0.253  0.255
Hg  0.500  0.253  0.745
Hg  0.500  0.500  0.000
Hg  0.500  0.747  0.255
Hg  0.500  0.747  0.745

---

(11)
Compound: La2UTc2
Source: Alexandria
Functional: GGA-PBE
Structure: relaxed

Properties
Formation energy ... -0.11 eV/atom
Space-group type ... No. 15
Theoretical density ... 9.48 g/cm3
Raw total energy ... -8.484 eV/atom

a = 5.919 Å, b = 5.919 Å, c = 7.993 Å
α = 96.12°, β = 96.12°, γ = 63.85°
Atoms (fractional coordinates):
La  0.027  0.271  0.153
La  0.271  0.027  0.653
La  0.729  0.973  0.347
La  0.973  0.729  0.847
U  0.377  0.623  0.250
U  0.623  0.377  0.750
Tc  0.257  0.499  0.485
Tc  0.499  0.257  0.985
Tc  0.501  0.743  0.015
Tc  0.743  0.501  0.515

---

Q: Look up the raw total energy of the third one.
A: -3.237 eV/atom

---

Q: Look up the theoretical density of the tenth one.
A: 9.92 g/cm3

---

Q: Look up the theoretical density of the third one.
A: 14.59 g/cm3

---

Repeat the first record exactly.
Compound: BaCoCuCl6
Source: Alexandria
Functional: GGA-PBE
Structure: relaxed

Properties
Space-group type ... No. 5
Theoretical density ... 3.38 g/cm3
Raw total energy ... -3.800 eV/atom
Formation energy without anion corrections ... -1.111 eV/atom

a = 6.406 Å, b = 6.406 Å, c = 6.530 Å
α = 90.02°, β = 90.02°, γ = 119.95°
Atoms (fractional coordinates):
Ba  0.000  0.000  0.000
Co  0.667  0.333  0.500
Cu  0.333  0.667  0.500
Cl  0.390  0.025  0.702
Cl  0.390  0.366  0.298
Cl  0.634  0.025  0.298
Cl  0.634  0.610  0.702
Cl  0.975  0.366  0.702
Cl  0.975  0.610  0.298